The following is a PBE calculation of a geometry-optimized ReRh3N structure, from Alexandria via LeMat-Bulk.

Properties
Its calculated volume is 21.06 Å³ per atom. The value obtained for the total magnetization is 2.942 μB/cell.

Cell lengths 4.722, 4.722, 4.722 Å; angles 90.00, 90.00, 90.00 degrees
Space group Pm-3m (No. 221)
Asymmetric unit:
1 Re 0.000 0.000 0.000
2 Rh 0.000 0.000 0.500
3 N 0.500 0.500 0.500

---

The following is a PBE calculation of a geometry-optimized Ba3Ag2N structure, from Alexandria via LeMat-Bulk.

Properties
Its calculated volume is 35.52 Å³ per atom. The value obtained for the total magnetization is 0.000 μB/cell.

Cell lengths 12.544, 8.968, 7.680 Å; angles 90.00, 99.38, 90.00 degrees
Space group C2/c (No. 15)
Asymmetric unit:
1 Ba 0.000 0.134 0.250
2 Ba 0.134 0.438 0.978
3 Ag 0.188 0.200 0.635
4 N 0.000 0.416 0.250

---

The following is a PBE calculation of a geometry-optimized Y3HfTl4Te8 structure, from Alexandria via LeMat-Bulk.

Properties
Its calculated volume is 33.93 Å³ per atom. The value obtained for the total magnetization is 0.000 μB/cell.

Cell lengths 8.7263, 8.7263, 24.6918 Å; angles 90.00, 90.00, 120.00 degrees
Space group R-3m (No. 166, hexagonal axes)
Asymmetric unit:
1 Y 0.0000 0.5000 0.0000
2 Hf 0.0000 0.0000 0.0000
3 Tl 0.0000 0.0000 0.5000
4 Tl 0.0000 0.5000 0.5000
5 Te 0.0000 0.0000 0.2611
6 Te 0.0156 0.5078 0.7367

---

Number 1: uncorrected energy -6.266 eV per atom. Number 2: uncorrected energy -3.547 eV per atom. Number 3: uncorrected energy -4.919 eV per atom.